Entry 1:
Computed, not measured: a relaxed Li2YTlI6 crystal at the PBE level of DFT.

Computed properties:
- total energy (eV/atom) = -3.34
- mass density (g/cm³) = 4.61
- formation energy without anion corrections (meV per atom) = -1142
- space group = R3

Cell lengths 7.848, 7.846, 8.517 Å; angles 62.56, 62.55, 59.99 degrees
Sites, in units of the cell vectors:
I (0.741, 0.152, 0.754)
I (0.353, 0.741, 0.754)
I (0.591, 0.260, 0.234)
I (0.260, 0.915, 0.234)
I (0.915, 0.591, 0.234)
I (0.152, 0.352, 0.754)
Tl (0.811, 0.811, 0.568)
Li (0.510, 0.510, 0.469)
Li (0.003, 0.004, 0.989)
Y (0.325, 0.325, 0.025)


Entry 2:
Computed, not measured: a relaxed KNbTl3 crystal at the PBE level of DFT.

Computed properties:
- ΔH_f (0 K) (eV per atom) = 0.27
- total energy (eV/atom) = -3.38
- mass density (g/cm³) = 7.16
- space group = Pm-3m

Cell lengths 5.571, 5.571, 5.571 Å; angles 90.00, 90.00, 90.00 degrees
Sites, in units of the cell vectors:
Tl (0.000, 0.500, 0.000)
Tl (0.000, 0.000, 0.500)
Tl (0.500, 0.000, 0.000)
Nb (0.000, 0.000, 0.000)
K (0.500, 0.500, 0.500)


Entry 3:
Computed, not measured: a relaxed Dy4YIn crystal at the PBE level of DFT.

Computed properties:
- ΔH_f (0 K) (eV per atom) = -0.15
- total energy (eV/atom) = -4.75
- mass density (g/cm³) = 7.81
- space group = P4/mmm

Cell lengths 3.563, 3.563, 14.291 Å; angles 90.00, 90.00, 90.00 degrees
Sites, in units of the cell vectors:
Y (0.000, 0.000, 0.000)
Dy (0.500, 0.500, 0.177)
Dy (0.000, 0.000, 0.352)
Dy (0.500, 0.500, 0.823)
Dy (0.000, 0.000, 0.648)
In (0.500, 0.500, 0.500)


Entry 4:
Computed, not measured: a relaxed CdPPt2 crystal at the PBE level of DFT.

Computed properties:
- ΔH_f (0 K) (eV per atom) = -0.16
- total energy (eV/atom) = -4.76
- mass density (g/cm³) = 12.73
- space group = Pm

Cell lengths 4.556, 2.993, 5.326 Å; angles 73.42, 90.00, 90.00 degrees
Sites, in units of the cell vectors:
Pt (0.000, 0.827, 0.968)
Pt (0.500, 0.209, 0.203)
Cd (0.000, 0.566, 0.497)
P (0.500, 0.899, 0.832)


Entry 5:
Computed, not measured: a relaxed LiSc7Ga4 crystal at the PBE level of DFT.

Computed properties:
- ΔH_f (0 K) (eV per atom) = -0.23
- total energy (eV/atom) = -5.09
- mass density (g/cm³) = 3.90
- space group = C2/m

Cell lengths 5.012, 8.394, 6.870 Å; angles 78.65, 68.61, 72.63 degrees
Sites, in units of the cell vectors:
Sc (0.320, 0.617, 0.743)
Sc (0.680, 0.383, 0.257)
Sc (0.500, 0.000, 0.000)
Sc (0.782, 0.878, 0.559)
Sc (0.218, 0.122, 0.441)
Sc (0.938, 0.362, 0.762)
Sc (0.062, 0.638, 0.238)
Li (0.000, 0.000, 0.000)
Ga (0.691, 0.669, 0.950)
Ga (0.563, 0.226, 0.647)
Ga (0.437, 0.774, 0.353)
Ga (0.309, 0.331, 0.050)


Entry 6:
Computed, not measured: a relaxed LiAc2Ga3Ge4 crystal at the PBE level of DFT.

Computed properties:
- ΔH_f (0 K) (eV per atom) = -0.43
- total energy (eV/atom) = -4.20
- mass density (g/cm³) = 7.08
- space group = P-4m2

Cell lengths 4.542, 4.542, 10.918 Å; angles 90.00, 90.00, 90.00 degrees
Sites, in units of the cell vectors:
Ga (0.000, 0.000, 0.500)
Ga (0.500, 0.000, 0.875)
Ga (0.000, 0.500, 0.125)
Ac (0.500, 0.000, 0.245)
Ac (0.000, 0.500, 0.755)
Ge (0.000, 0.000, 0.000)
Ge (0.500, 0.500, 0.000)
Ge (0.500, 0.000, 0.637)
Ge (0.000, 0.500, 0.363)
Li (0.500, 0.500, 0.500)